(1)
Rb2ZnNiPb: optimized geometry, PBE.

Magnetic moment: 0.00 μB per cell
SG: No. 123
Formation enthalpy at 0 K: 0.4442 eV per atom

abc: 7.168 7.168 4.844
angles: 90.00 90.00 90.00
Sites, in units of the cell vectors:
Rb 0.000 0.500 0.000
Rb 0.500 0.000 0.000
Zn 0.000 0.000 0.500
Ni 0.500 0.500 0.500
Pb 0.500 0.500 0.000



(2)
RbZnNi2Pb: optimized geometry, PBE.

Magnetic moment: 0.00 μB per cell
SG: No. 123
Formation enthalpy at 0 K: 1.6315 eV per atom

abc: 4.842 4.842 5.623
angles: 90.00 90.00 90.00
Sites, in units of the cell vectors:
Rb 0.000 0.000 0.000
Zn 0.000 0.000 0.500
Ni 0.000 0.500 0.000
Ni 0.500 0.000 0.000
Pb 0.500 0.500 0.500



(3)
RbZrNiPb2: optimized geometry, PBE.

Magnetic moment: 0.00 μB per cell
SG: No. 123
Formation enthalpy at 0 K: 0.3850 eV per atom

abc: 5.833 5.833 4.842
angles: 90.00 90.00 90.00
Sites, in units of the cell vectors:
Rb 0.000 0.000 0.000
Zr 0.500 0.500 0.500
Ni 0.500 0.500 0.000
Pb 0.000 0.500 0.500
Pb 0.500 0.000 0.500



Q: What is the formula in the third record?
A: RbZrNiPb2



Q: magnetic moment of number 3 (RbZrNiPb2)?
A: 0.00 μB per cell



Q: Look up the formation enthalpy at 0 K of the second one.
A: 1.6315 eV per atom



Q: formation enthalpy at 0 K of number 3 (RbZrNiPb2)?
A: 0.3850 eV per atom